Entry 1:
Computed, not measured: a geometry-optimized CaMgAg2 structure at the PBE level of DFT.

CIF file:
```
data_CaMgAg2
_chemical_formula_sum 'Ca1 Mg1 Ag2'
_cell_length_a 3.531
_cell_length_b 3.531
_cell_length_c 7.084
_cell_angle_alpha 90.00
_cell_angle_beta 90.00
_cell_angle_gamma 90.00
_symmetry_space_group_name_H-M 'P 4/m m m'
_symmetry_Int_Tables_number 123
_symmetry_space_group_name_Hall '-P 4 2'
loop_
_atom_site_label
_atom_site_type_symbol
_atom_site_fract_x
_atom_site_fract_y
_atom_site_fract_z
_atom_site_occupancy
Ca1 Ca 0.000 0.000 0.000 1
Mg1 Mg 0.000 0.000 0.500 1
Ag1 Ag 0.500 0.500 0.287 1
```



Entry 2:
Computed, not measured: a geometry-optimized Ca3Mg4Ag4 structure at the PBE level of DFT.

CIF file:
```
data_Ca3Mg4Ag4
_chemical_formula_sum 'Ca6 Mg8 Ag8'
_cell_length_a 8.345
_cell_length_b 8.345
_cell_length_c 8.345
_cell_angle_alpha 90.00
_cell_angle_beta 90.00
_cell_angle_gamma 90.00
_symmetry_space_group_name_H-M 'I -4 3 m'
_symmetry_Int_Tables_number 217
_symmetry_space_group_name_Hall 'I -4 2 3'
loop_
_atom_site_label
_atom_site_type_symbol
_atom_site_fract_x
_atom_site_fract_y
_atom_site_fract_z
_atom_site_occupancy
Ca1 Ca 0.000 0.000 0.500 1
Mg1 Mg 0.131 0.131 0.131 1
Ag1 Ag 0.189 0.189 0.811 1
```



Entry 3:
Computed, not measured: a geometry-optimized Ca2MgAg structure at the PBE level of DFT.

CIF file:
```
data_Ca2MgAg
_chemical_formula_sum 'Ca2 Mg1 Ag1'
_cell_length_a 3.657
_cell_length_b 3.657
_cell_length_c 8.635
_cell_angle_alpha 90.00
_cell_angle_beta 90.00
_cell_angle_gamma 90.00
_symmetry_space_group_name_H-M 'P 4 m m'
_symmetry_Int_Tables_number 99
_symmetry_space_group_name_Hall 'P 4 -2'
loop_
_atom_site_label
_atom_site_type_symbol
_atom_site_fract_x
_atom_site_fract_y
_atom_site_fract_z
_atom_site_occupancy
Ca1 Ca 0.000 0.000 0.000 1
Ca2 Ca 0.500 0.500 0.354 1
Mg1 Mg 0.000 0.000 0.618 1
Ag1 Ag 0.500 0.500 0.769 1
```



Entry 4:
Computed, not measured: a geometry-optimized Ca6MgAg structure at the PBE level of DFT.

CIF file:
```
data_Ca6MgAg
_chemical_formula_sum 'Ca12 Mg2 Ag2'
_cell_length_a 5.444
_cell_length_b 5.444
_cell_length_c 18.970
_cell_angle_alpha 90.00
_cell_angle_beta 90.00
_cell_angle_gamma 90.00
_symmetry_space_group_name_H-M 'I 4/m m m'
_symmetry_Int_Tables_number 139
_symmetry_space_group_name_Hall '-I 4 2'
loop_
_atom_site_label
_atom_site_type_symbol
_atom_site_fract_x
_atom_site_fract_y
_atom_site_fract_z
_atom_site_occupancy
Ca1 Ca 0.000 0.000 0.248 1
Ca2 Ca 0.000 0.500 0.100 1
Mg1 Mg 0.000 0.000 0.000 1
Ag1 Ag 0.000 0.000 0.500 1
```



Entry 5:
Computed, not measured: a geometry-optimized Ca8Mg3Ag2 structure at the PBE level of DFT.

CIF file:
```
data_Ca8Mg3Ag2
_chemical_formula_sum 'Ca16 Mg6 Ag4'
_cell_length_a 8.985
_cell_length_b 16.836
_cell_length_c 5.725
_cell_angle_alpha 90.00
_cell_angle_beta 90.00
_cell_angle_gamma 90.00
_symmetry_space_group_name_H-M 'C m m m'
_symmetry_Int_Tables_number 65
_symmetry_space_group_name_Hall '-C 2 2'
loop_
_atom_site_label
_atom_site_type_symbol
_atom_site_fract_x
_atom_site_fract_y
_atom_site_fract_z
_atom_site_occupancy
Ca1 Ca 0.000 0.107 0.000 1
Ca2 Ca 0.000 0.311 0.000 1
Ca3 Ca 0.215 0.377 0.500 1
Mg1 Mg 0.000 0.000 0.500 1
Mg2 Mg 0.171 0.500 0.000 1
Ag1 Ag 0.000 0.223 0.500 1
```



Entry 6:
Computed, not measured: a geometry-optimized CaMgAg2 structure at the PBE level of DFT.

CIF file:
```
data_CaMgAg2
_chemical_formula_sum 'Ca4 Mg4 Ag8'
_cell_length_a 7.049
_cell_length_b 7.049
_cell_length_c 7.049
_cell_angle_alpha 90.00
_cell_angle_beta 90.00
_cell_angle_gamma 90.00
_symmetry_space_group_name_H-M 'F -4 3 m'
_symmetry_Int_Tables_number 216
_symmetry_space_group_name_Hall 'F -4 2 3'
loop_
_atom_site_label
_atom_site_type_symbol
_atom_site_fract_x
_atom_site_fract_y
_atom_site_fract_z
_atom_site_occupancy
Ca1 Ca 0.000 0.000 0.000 1
Mg1 Mg 0.250 0.250 0.250 1
Ag1 Ag 0.000 0.000 0.500 1
Ag2 Ag 0.250 0.250 0.750 1
```



Entry 7:
Computed, not measured: a geometry-optimized CaMg2Ag9 structure at the PBE level of DFT.

CIF file:
```
data_CaMg2Ag9
_chemical_formula_sum 'Ca3 Mg6 Ag27'
_cell_length_a 5.6056
_cell_length_b 5.6056
_cell_length_c 27.3339
_cell_angle_alpha 90.00
_cell_angle_beta 90.00
_cell_angle_gamma 120.00
_symmetry_space_group_name_H-M 'R -3 m'
_symmetry_Int_Tables_number 166
_symmetry_space_group_name_Hall '-R 3 2"'
loop_
_atom_site_label
_atom_site_type_symbol
_atom_site_fract_x
_atom_site_fract_y
_atom_site_fract_z
_atom_site_occupancy
Ca1 Ca 0.0000 0.0000 0.0000 1
Mg1 Mg 0.0000 0.0000 0.1475 1
Ag1 Ag 0.0000 0.0000 0.3337 1
Ag2 Ag 0.0000 0.0000 0.5000 1
Ag3 Ag 0.0050 0.5025 0.9136 1
```



Entry 8:
Computed, not measured: a geometry-optimized Ca2MgAg structure at the PBE level of DFT.

CIF file:
```
data_Ca2MgAg
_chemical_formula_sum 'Ca2 Mg1 Ag1'
_cell_length_a 5.425
_cell_length_b 5.425
_cell_length_c 3.819
_cell_angle_alpha 90.00
_cell_angle_beta 90.00
_cell_angle_gamma 90.00
_symmetry_space_group_name_H-M 'P 4/m m m'
_symmetry_Int_Tables_number 123
_symmetry_space_group_name_Hall '-P 4 2'
loop_
_atom_site_label
_atom_site_type_symbol
_atom_site_fract_x
_atom_site_fract_y
_atom_site_fract_z
_atom_site_occupancy
Ca1 Ca 0.000 0.500 0.000 1
Mg1 Mg 0.000 0.000 0.500 1
Ag1 Ag 0.500 0.500 0.500 1
```



Entry 9:
Computed, not measured: a geometry-optimized Ca5Mg4Ag structure at the PBE level of DFT.

CIF file:
```
data_Ca5Mg4Ag
_chemical_formula_sum 'Ca5 Mg4 Ag1'
_cell_length_a 3.840
_cell_length_b 3.840
_cell_length_c 20.259
_cell_angle_alpha 90.00
_cell_angle_beta 90.00
_cell_angle_gamma 90.00
_symmetry_space_group_name_H-M 'P 4/m m m'
_symmetry_Int_Tables_number 123
_symmetry_space_group_name_Hall '-P 4 2'
loop_
_atom_site_label
_atom_site_type_symbol
_atom_site_fract_x
_atom_site_fract_y
_atom_site_fract_z
_atom_site_occupancy
Ca1 Ca 0.000 0.000 0.000 1
Ca2 Ca 0.000 0.000 0.205 1
Ca3 Ca 0.000 0.000 0.412 1
Mg1 Mg 0.500 0.500 0.103 1
Mg2 Mg 0.500 0.500 0.308 1
Ag1 Ag 0.500 0.500 0.500 1
```



Entry 10:
Computed, not measured: a geometry-optimized Ca12MgAg6 structure at the PBE level of DFT.

CIF file:
```
data_Ca12MgAg6
_chemical_formula_sum 'Ca24 Mg2 Ag12'
_cell_length_a 10.651
_cell_length_b 10.651
_cell_length_c 10.651
_cell_angle_alpha 90.00
_cell_angle_beta 90.00
_cell_angle_gamma 90.00
_symmetry_space_group_name_H-M 'I m -3'
_symmetry_Int_Tables_number 204
_symmetry_space_group_name_Hall '-I 2 2 3'
loop_
_atom_site_label
_atom_site_type_symbol
_atom_site_fract_x
_atom_site_fract_y
_atom_site_fract_z
_atom_site_occupancy
Ca1 Ca 0.000 0.182 0.294 1
Mg1 Mg 0.000 0.000 0.000 1
Ag1 Ag 0.000 0.370 0.500 1
```



Entry 11:
Computed, not measured: a geometry-optimized CaMgAg4 structure at the PBE level of DFT.

CIF file:
```
data_CaMgAg4
_chemical_formula_sum 'Ca4 Mg4 Ag16'
_cell_length_a 7.981
_cell_length_b 7.981
_cell_length_c 7.981
_cell_angle_alpha 90.00
_cell_angle_beta 90.00
_cell_angle_gamma 90.00
_symmetry_space_group_name_H-M 'F -4 3 m'
_symmetry_Int_Tables_number 216
_symmetry_space_group_name_Hall 'F -4 2 3'
loop_
_atom_site_label
_atom_site_type_symbol
_atom_site_fract_x
_atom_site_fract_y
_atom_site_fract_z
_atom_site_occupancy
Ca1 Ca 0.000 0.000 0.000 1
Mg1 Mg 0.250 0.250 0.750 1
Ag1 Ag 0.125 0.125 0.375 1
```



Entry 12:
Computed, not measured: a geometry-optimized Ca7Mg2Ag2 structure at the PBE level of DFT.

CIF file:
```
data_Ca7Mg2Ag2
_chemical_formula_sum 'Ca14 Mg4 Ag4'
_cell_length_a 8.687
_cell_length_b 11.861
_cell_length_c 7.580
_cell_angle_alpha 90.00
_cell_angle_beta 90.00
_cell_angle_gamma 90.00
_symmetry_space_group_name_H-M 'C m m m'
_symmetry_Int_Tables_number 65
_symmetry_space_group_name_Hall '-C 2 2'
loop_
_atom_site_label
_atom_site_type_symbol
_atom_site_fract_x
_atom_site_fract_y
_atom_site_fract_z
_atom_site_occupancy
Ca1 Ca 0.000 0.000 0.000 1
Ca2 Ca 0.000 0.500 0.248 1
Ca3 Ca 0.250 0.250 0.265 1
Mg1 Mg 0.171 0.000 0.500 1
Ag1 Ag 0.000 0.287 0.000 1
```



Entry 13:
Computed, not measured: a geometry-optimized Ca2MgAg4 structure at the PBE level of DFT.

CIF file:
```
data_Ca2MgAg4
_chemical_formula_sum 'Ca4 Mg2 Ag8'
_cell_length_a 5.442
_cell_length_b 14.458
_cell_length_c 4.811
_cell_angle_alpha 90.00
_cell_angle_beta 90.00
_cell_angle_gamma 90.00
_symmetry_space_group_name_H-M 'C m m m'
_symmetry_Int_Tables_number 65
_symmetry_space_group_name_Hall '-C 2 2'
loop_
_atom_site_label
_atom_site_type_symbol
_atom_site_fract_x
_atom_site_fract_y
_atom_site_fract_z
_atom_site_occupancy
Ca1 Ca 0.000 0.163 0.000 1
Mg1 Mg 0.000 0.500 0.500 1
Ag1 Ag 0.000 0.302 0.500 1
Ag2 Ag 0.000 0.404 0.000 1
```



Entry 14:
Computed, not measured: a geometry-optimized CaMg4Ag2 structure at the PBE level of DFT.

CIF file:
```
data_CaMg4Ag2
_chemical_formula_sum 'Ca2 Mg8 Ag4'
_cell_length_a 4.467
_cell_length_b 16.940
_cell_length_c 4.368
_cell_angle_alpha 90.00
_cell_angle_beta 90.00
_cell_angle_gamma 90.00
_symmetry_space_group_name_H-M 'C m m m'
_symmetry_Int_Tables_number 65
_symmetry_space_group_name_Hall '-C 2 2'
loop_
_atom_site_label
_atom_site_type_symbol
_atom_site_fract_x
_atom_site_fract_y
_atom_site_fract_z
_atom_site_occupancy
Ca1 Ca 0.000 0.000 0.000 1
Mg1 Mg 0.000 0.180 0.500 1
Mg2 Mg 0.000 0.317 0.000 1
Ag1 Ag 0.000 0.419 0.500 1
```



Entry 15:
Computed, not measured: a geometry-optimized Ca12MgAg5 structure at the PBE level of DFT.

CIF file:
```
data_Ca12MgAg5
_chemical_formula_sum 'Ca24 Mg2 Ag10'
_cell_length_a 10.015
_cell_length_b 10.148
_cell_length_c 11.384
_cell_angle_alpha 90.00
_cell_angle_beta 90.00
_cell_angle_gamma 90.00
_symmetry_space_group_name_H-M 'I m m m'
_symmetry_Int_Tables_number 71
_symmetry_space_group_name_Hall '-I 2 2'
loop_
_atom_site_label
_atom_site_type_symbol
_atom_site_fract_x
_atom_site_fract_y
_atom_site_fract_z
_atom_site_occupancy
Ca1 Ca 0.000 0.192 0.238 1
Ca2 Ca 0.197 0.500 0.169 1
Ca3 Ca 0.218 0.318 0.500 1
Mg1 Mg 0.000 0.000 0.500 1
Ag1 Ag 0.000 0.000 0.000 1
Ag2 Ag 0.000 0.343 0.000 1
Ag3 Ag 0.000 0.500 0.374 1
```



Entry 16:
Computed, not measured: a geometry-optimized CaMgAg2 structure at the PBE level of DFT.

CIF file:
```
data_CaMgAg2
_chemical_formula_sum 'Ca4 Mg4 Ag8'
_cell_length_a 4.927
_cell_length_b 4.927
_cell_length_c 18.568
_cell_angle_alpha 90.00
_cell_angle_beta 90.00
_cell_angle_gamma 90.00
_symmetry_space_group_name_H-M 'I -4 2 d'
_symmetry_Int_Tables_number 122
_symmetry_space_group_name_Hall 'I -4 2bw'
loop_
_atom_site_label
_atom_site_type_symbol
_atom_site_fract_x
_atom_site_fract_y
_atom_site_fract_z
_atom_site_occupancy
Ca1 Ca 0.000 0.000 0.000 1
Mg1 Mg 0.000 0.000 0.500 1
Ag1 Ag 0.134 0.250 0.625 1
```



Entry 17:
Computed, not measured: a geometry-optimized CaMg4Ag5 structure at the PBE level of DFT.

CIF file:
```
data_CaMg4Ag5
_chemical_formula_sum 'Ca1 Mg4 Ag5'
_cell_length_a 3.429
_cell_length_b 3.429
_cell_length_c 16.889
_cell_angle_alpha 90.00
_cell_angle_beta 90.00
_cell_angle_gamma 90.00
_symmetry_space_group_name_H-M 'P 4/m m m'
_symmetry_Int_Tables_number 123
_symmetry_space_group_name_Hall '-P 4 2'
loop_
_atom_site_label
_atom_site_type_symbol
_atom_site_fract_x
_atom_site_fract_y
_atom_site_fract_z
_atom_site_occupancy
Ca1 Ca 0.000 0.000 0.000 1
Mg1 Mg 0.000 0.000 0.215 1
Mg2 Mg 0.000 0.000 0.405 1
Ag1 Ag 0.500 0.500 0.124 1
Ag2 Ag 0.500 0.500 0.311 1
Ag3 Ag 0.500 0.500 0.500 1
```



Entry 18:
Computed, not measured: a geometry-optimized CaMg2Ag3 structure at the PBE level of DFT.

CIF file:
```
data_CaMg2Ag3
_chemical_formula_sum 'Ca1 Mg2 Ag3'
_cell_length_a 3.493
_cell_length_b 3.493
_cell_length_c 10.261
_cell_angle_alpha 90.00
_cell_angle_beta 90.00
_cell_angle_gamma 90.00
_symmetry_space_group_name_H-M 'P 4/m m m'
_symmetry_Int_Tables_number 123
_symmetry_space_group_name_Hall '-P 4 2'
loop_
_atom_site_label
_atom_site_type_symbol
_atom_site_fract_x
_atom_site_fract_y
_atom_site_fract_z
_atom_site_occupancy
Ca1 Ca 0.000 0.000 0.000 1
Mg1 Mg 0.000 0.000 0.345 1
Ag1 Ag 0.500 0.500 0.201 1
Ag2 Ag 0.500 0.500 0.500 1
```



Entry 19:
Computed, not measured: a geometry-optimized CaMgAg2 structure at the PBE level of DFT.

CIF file:
```
data_CaMgAg2
_chemical_formula_sum 'Ca2 Mg2 Ag4'
_cell_length_a 10.543
_cell_length_b 3.544
_cell_length_c 5.039
_cell_angle_alpha 90.00
_cell_angle_beta 107.37
_cell_angle_gamma 90.00
_symmetry_space_group_name_H-M 'C 1 m 1'
_symmetry_Int_Tables_number 8
_symmetry_space_group_name_Hall 'C -2y'
loop_
_atom_site_label
_atom_site_type_symbol
_atom_site_fract_x
_atom_site_fract_y
_atom_site_fract_z
_atom_site_occupancy
Ca1 Ca 0.000 0.000 0.000 1
Mg1 Mg 0.280 0.500 0.344 1
Ag1 Ag 0.016 0.500 0.508 1
Ag2 Ag 0.242 0.000 0.778 1
```



Entry 20:
Computed, not measured: a geometry-optimized Ca2MgAg structure at the PBE level of DFT.

CIF file:
```
data_Ca2MgAg
_chemical_formula_sum 'Ca6 Mg3 Ag3'
_cell_length_a 3.8833
_cell_length_b 3.8833
_cell_length_c 28.9094
_cell_angle_alpha 90.00
_cell_angle_beta 90.00
_cell_angle_gamma 120.00
_symmetry_space_group_name_H-M 'R 3 m'
_symmetry_Int_Tables_number 160
_symmetry_space_group_name_Hall 'R 3 -2"'
loop_
_atom_site_label
_atom_site_type_symbol
_atom_site_fract_x
_atom_site_fract_y
_atom_site_fract_z
_atom_site_occupancy
Ca1 Ca 0.0000 0.0000 0.0000 1
Ca2 Ca 0.0000 0.0000 0.1873 1
Mg1 Mg 0.0000 0.0000 0.4272 1
Ag1 Ag 0.0000 0.0000 0.5934 1
```



Number 1: E_tot -10.37 eV/cell, DFT formation energy -26 kJ/mol of atoms. Number 2: E_tot -50.77 eV/cell, DFT formation energy -14 kJ/mol of atoms. Number 3: E_tot -9.08 eV/cell, DFT formation energy -15 kJ/mol of atoms. Number 4: E_tot -34.16 eV/cell, DFT formation energy -8 kJ/mol of atoms. Number 5: E_tot -54.39 eV/cell, DFT formation energy -5 kJ/mol of atoms. Number 6: E_tot -39.24 eV/cell, DFT formation energy -12 kJ/mol of atoms. Number 7: E_tot -96.33 eV/cell, DFT formation energy -10 kJ/mol of atoms. Number 8: E_tot -9.11 eV/cell, DFT formation energy -16 kJ/mol of atoms. Number 9: E_tot -20.50 eV/cell, DFT formation energy -12 kJ/mol of atoms. Number 10: E_tot -92.95 eV/cell, DFT formation energy -19 kJ/mol of atoms. Number 11: E_tot -64.68 eV/cell, DFT formation energy -19 kJ/mol of atoms. Number 12: E_tot -46.41 eV/cell, DFT formation energy -3 kJ/mol of atoms. Number 13: E_tot -35.56 eV/cell, DFT formation energy -11 kJ/mol of atoms. Number 14: E_tot -30.43 eV/cell, DFT formation energy -16 kJ/mol of atoms. Number 15: E_tot -87.21 eV/cell, DFT formation energy -20 kJ/mol of atoms. Number 16: E_tot -35.70 eV/cell, DFT formation energy 9 kJ/mol of atoms. Number 17: E_tot -25.07 eV/cell, DFT formation energy -23 kJ/mol of atoms. Number 18: E_tot -15.22 eV/cell, DFT formation energy -24 kJ/mol of atoms. Number 19: E_tot -19.96 eV/cell, DFT formation energy -16 kJ/mol of atoms. Number 20: E_tot -25.68 eV/cell, DFT formation energy -3 kJ/mol of atoms.